No. 1
Entry from the Alexandria database: LiRu at its PBEsol-relaxed geometry (meta-GGA SCAN).

Lattice parameters (Å, degrees): 4.112 4.112 4.112 60.00 60.00 60.00
Positions (direct):
Li 0.500 0.500 0.500
Li 0.750 0.750 0.750
Ru 0.250 0.250 0.250
Ru 0.000 0.000 0.000

Results
E: -18.561 eV/atom
ΔH_f (0 K): 0.047 eV per atom
spin magnetization: 0.00 Bohr magnetons per cell
space group: Fd-3m

=====

No. 2
Entry from the Alexandria database: Li2Ru at its PBEsol-relaxed geometry (meta-GGA SCAN).

Lattice parameters (Å, degrees): 2.502 2.502 6.978 100.33 100.33 90.00
Positions (direct):
Ru 0.000 0.000 0.000
Li 0.347 0.347 0.694
Li 0.653 0.653 0.306

Results
E: -13.056 eV/atom
ΔH_f (0 K): 0.146 eV per atom
spin magnetization: 0.00 Bohr magnetons per cell
space group: I4/mmm

=====

No. 3
Entry from the Alexandria database: Li2Ru at its PBEsol-relaxed geometry (meta-GGA SCAN).

Lattice parameters (Å, degrees): 2.558 5.314 6.523 100.75 90.00 103.93
Last column: magnetic moment on the atom in μB.
Positions (direct):
Li 0.858 0.716 0.476  0.00
Li 0.471 0.942 0.165  0.00
Li 0.529 0.058 0.835  0.00
Li 0.142 0.284 0.524  0.00
Ru 0.212 0.425 0.143  0.40
Ru 0.788 0.575 0.857  0.40

Results
E: -12.992 eV/atom
ΔH_f (0 K): 0.210 eV per atom
spin magnetization: 0.87 Bohr magnetons per cell
space group: C2/m